A relaxed structure of LiSc2Ta. Source: the Alexandria database, functional PBE-GGA.

Lattice parameters (Å, degrees): 4.875 4.875 4.875 60.00 60.00 60.00
Sites, in units of the cell vectors:
Sc 0.250 0.250 0.250
Sc 0.750 0.750 0.750
Li 0.000 0.000 0.000
Ta 0.500 0.500 0.500

## Properties
The value obtained for the raw total energy is -25.0 eV/cell. For the formation energy, the calculation gives 367 meV per atom. The relative energy among the computed polymorphs is 0.944 eV per formula unit.


A relaxed structure of ScCuOs2. Source: the Alexandria database, functional PBE-GGA.

Lattice parameters (Å, degrees): 2.723 4.011 5.654 90.00 90.00 90.00
Sites, in units of the cell vectors:
Cu 0.500 0.500 0.750
Os 0.000 0.000 0.966
Os 0.000 0.000 0.534
Sc 0.500 0.500 0.250

## Properties
The value obtained for the raw total energy is -32.1 eV/cell. For the formation energy, the calculation gives 200 meV per atom. The relative energy among the computed polymorphs is 0.901 eV per formula unit.


A relaxed structure of CaMgCu2. Source: the Alexandria database, functional PBE-GGA.

Lattice parameters (Å, degrees): 4.049 3.909 5.511 69.43 90.00 90.00
Sites, in units of the cell vectors:
Ca 0.500 0.775 0.824
Mg 0.000 0.486 0.405
Cu 0.000 0.185 0.005
Cu 0.500 0.055 0.266

## Properties
The value obtained for the raw total energy is -12.1 eV/cell. For the formation energy, the calculation gives -85 meV per atom.


A relaxed structure of Gd2TmTl. Source: the Alexandria database, functional PBE-GGA.

Lattice parameters (Å, degrees): 5.471 5.471 5.471 60.00 60.00 60.00
Sites, in units of the cell vectors:
Gd 0.250 0.250 0.250
Gd 0.750 0.750 0.750
Tl 0.500 0.500 0.500
Tm 0.000 0.000 0.000

## Properties
The value obtained for the raw total energy is -35.3 eV/cell. For the formation energy, the calculation gives -86 meV per atom. The relative energy among the computed polymorphs is 0.496 eV per formula unit.


A relaxed structure of ScPb2Au2. Source: the Alexandria database, functional PBE-GGA.

Lattice parameters (Å, degrees): 7.326 7.326 4.562 90.00 90.00 90.00
Sites, in units of the cell vectors:
Pb 0.182 0.682 0.500
Pb 0.682 0.818 0.500
Pb 0.818 0.318 0.500
Pb 0.318 0.182 0.500
Sc 0.000 0.000 0.000
Sc 0.500 0.500 0.000
Au 0.366 0.866 0.000
Au 0.866 0.634 0.000
Au 0.634 0.134 0.000
Au 0.134 0.366 0.000

## Properties
The value obtained for the raw total energy is -42.9 eV/cell. For the formation energy, the calculation gives -232 meV per atom. The relative energy among the computed polymorphs is 0.000 eV per formula unit.


A relaxed structure of Sm4NiPb2. Source: the Alexandria database, functional PBE-GGA.

Lattice parameters (Å, degrees): 5.027 5.027 9.260 105.75 105.75 90.00
Sites, in units of the cell vectors:
Pb 0.639 0.639 0.277
Pb 0.361 0.361 0.723
Ni 0.000 0.000 0.000
Sm 0.825 0.825 0.650
Sm 0.175 0.175 0.350
Sm 0.000 0.500 0.000
Sm 0.500 0.000 0.000

## Properties
The value obtained for the raw total energy is -34.6 eV/cell. For the formation energy, the calculation gives -354 meV per atom.


A relaxed structure of CaTc2Mo2. Source: the Alexandria database, functional PBE-GGA.

Lattice parameters (Å, degrees): 7.846 7.846 2.868 90.00 90.00 90.00
Sites, in units of the cell vectors:
Mo 0.356 0.856 0.000
Mo 0.856 0.644 0.000
Mo 0.644 0.144 0.000
Mo 0.144 0.356 0.000
Ca 0.000 0.000 0.000
Ca 0.500 0.500 0.000
Tc 0.147 0.647 0.500
Tc 0.647 0.853 0.500
Tc 0.853 0.353 0.500
Tc 0.353 0.147 0.500

## Properties
The value obtained for the raw total energy is -85.8 eV/cell. For the formation energy, the calculation gives 295 meV per atom. The relative energy among the computed polymorphs is 0.000 eV per formula unit.


A relaxed structure of SmTe2Pd9. Source: the Alexandria database, functional PBE-GGA.

Lattice parameters (Å, degrees): 4.149 4.149 12.162 90.00 90.00 90.00
Sites, in units of the cell vectors:
Sm 0.000 0.000 0.000
Te 0.000 0.000 0.335
Te 0.000 0.000 0.665
Pd 0.500 0.500 0.000
Pd 0.500 0.500 0.340
Pd 0.500 0.500 0.660
Pd 0.500 0.000 0.173
Pd 0.500 0.000 0.500
Pd 0.500 0.000 0.827
Pd 0.000 0.500 0.173
Pd 0.000 0.500 0.500
Pd 0.000 0.500 0.827

## Properties
The value obtained for the raw total energy is -62.3 eV/cell. As for the uncorrected formation energy: -0.38 eV per atom.


A relaxed structure of EuGdGaPb. Source: the Alexandria database, functional PBE-GGA.

Lattice parameters (Å, degrees): 5.399 5.399 5.399 60.00 60.00 60.00
Sites, in units of the cell vectors:
Pb 0.750 0.750 0.750
Eu 0.000 0.000 0.000
Gd 0.500 0.500 0.500
Ga 0.250 0.250 0.250

## Properties
The value obtained for the raw total energy is -33.0 eV/cell. For the formation energy, the calculation gives -469 meV per atom.


A relaxed structure of ZrNi3Au. Source: the Alexandria database, functional PBE-GGA.

Lattice parameters (Å, degrees): 4.548 4.548 4.548 90.00 90.00 90.00
Sites, in units of the cell vectors:
Ni 0.000 0.500 0.000
Ni 0.000 0.000 0.500
Ni 0.500 0.000 0.000
Au 0.500 0.500 0.500
Zr 0.000 0.000 0.000

## Properties
The value obtained for the raw total energy is -23.4 eV/cell. For the formation energy, the calculation gives 1147 meV per atom. The relative energy among the computed polymorphs is 0.948 eV per formula unit.


A relaxed structure of LaPm6Ag2. Source: the Alexandria database, functional PBE-GGA.

Lattice parameters (Å, degrees): 3.772 6.700 11.949 75.49 80.92 73.65
Sites, in units of the cell vectors:
La 0.000 0.000 0.000
Pm 0.685 0.505 0.124
Pm 0.315 0.495 0.876
Pm 0.314 0.785 0.587
Pm 0.977 0.711 0.335
Pm 0.023 0.289 0.665
Pm 0.686 0.215 0.413
Ag 0.348 0.095 0.210
Ag 0.652 0.905 0.790

## Properties
The value obtained for the raw total energy is -40.1 eV/cell. For the formation energy, the calculation gives -104 meV per atom.


A relaxed structure of Nb3ReMo. Source: the Alexandria database, functional PBE-GGA.

Lattice parameters (Å, degrees): 6.478 7.834 7.834 62.72 92.21 92.21
Sites, in units of the cell vectors:
Nb 0.406 0.312 0.817
Nb 0.094 0.183 0.688
Nb 0.594 0.688 0.183
Nb 0.906 0.817 0.312
Nb 0.949 0.738 0.950
Nb 0.551 0.050 0.262
Nb 0.051 0.262 0.050
Nb 0.449 0.950 0.738
Nb 0.427 0.305 0.380
Nb 0.073 0.620 0.695
Nb 0.573 0.695 0.620
Nb 0.927 0.380 0.305
Re 0.680 0.432 0.993
Re 0.820 0.007 0.568
Re 0.320 0.568 0.007
Re 0.180 0.993 0.432
Mo 0.250 0.942 0.058
Mo 0.750 0.058 0.942
Mo 0.250 0.602 0.398
Mo 0.750 0.398 0.602

## Properties
The value obtained for the raw total energy is -209.9 eV/cell. For the formation energy, the calculation gives 203 meV per atom. The relative energy among the computed polymorphs is 2.147 eV per formula unit.


A relaxed structure of NdSm2TmTl4. Source: the Alexandria database, functional PBE-GGA.

Lattice parameters (Å, degrees): 5.439 5.439 9.455 73.29 73.29 60.00
Sites, in units of the cell vectors:
Nd 0.000 0.000 0.000
Sm 0.751 0.751 0.747
Sm 0.249 0.249 0.253
Tm 0.500 0.500 0.500
Tl 0.377 0.377 0.870
Tl 0.873 0.873 0.380
Tl 0.127 0.127 0.620
Tl 0.623 0.623 0.130

## Properties
The value obtained for the raw total energy is -31.0 eV/cell. For the formation energy, the calculation gives -355 meV per atom.


A relaxed structure of Ac2La2Pr4Y. Source: the Alexandria database, functional PBE-GGA.

Lattice parameters (Å, degrees): 3.813 9.992 10.144 115.11 90.00 101.00
Sites, in units of the cell vectors:
Ac 0.855 0.710 0.335
Ac 0.145 0.290 0.665
La 0.335 0.671 0.998
La 0.665 0.329 0.002
Pr 0.815 0.630 0.668
Pr 0.185 0.370 0.332
Pr 0.518 0.037 0.319
Pr 0.482 0.963 0.681
Y 0.000 0.000 0.000

## Properties
The value obtained for the raw total energy is -43.4 eV/cell. For the formation energy, the calculation gives 23 meV per atom.


A relaxed structure of SrLiNi4. Source: the Alexandria database, functional PBE-GGA.

Lattice parameters (Å, degrees): 5.016 5.016 5.016 60.00 60.00 60.00
Sites, in units of the cell vectors:
Li 0.000 0.000 0.000
Ni 0.122 0.626 0.626
Ni 0.626 0.626 0.626
Ni 0.626 0.122 0.626
Ni 0.626 0.626 0.122
Sr 0.250 0.250 0.250

## Properties
The value obtained for the raw total energy is -26.8 eV/cell. For the formation energy, the calculation gives -10 meV per atom.


A relaxed structure of CdMoPb2. Source: the Alexandria database, functional PBE-GGA.

Lattice parameters (Å, degrees): 10.098 10.098 7.682 48.91 48.91 90.00
Sites, in units of the cell vectors:
Pb 0.377 0.125 0.250
Pb 0.373 0.625 0.250
Pb 0.375 0.623 0.750
Pb 0.875 0.627 0.750
Mo 0.500 0.500 0.000
Mo 0.250 0.750 0.500
Cd 0.000 0.000 0.000
Cd 0.750 0.250 0.500

## Properties
The value obtained for the raw total energy is -32.6 eV/cell. For the formation energy, the calculation gives 721 meV per atom.


A relaxed structure of Hf2TiP2. Source: the Alexandria database, functional PBE-GGA.

Lattice parameters (Å, degrees): 4.058 4.058 6.166 70.78 70.78 90.00
Sites, in units of the cell vectors:
P 0.400 0.400 0.201
P 0.600 0.600 0.799
Hf 0.750 0.250 0.500
Hf 0.250 0.750 0.500
Ti 0.000 0.000 0.000

## Properties
The value obtained for the raw total energy is -41.0 eV/cell. For the formation energy, the calculation gives -467 meV per atom. The relative energy among the computed polymorphs is 3.270 eV per formula unit.


A relaxed structure of SrReO6. Source: the Alexandria database, functional PBE-GGA.

Lattice parameters (Å, degrees): 6.221 6.221 6.221 60.00 60.00 60.00
Sites, in units of the cell vectors:
Sr 0.500 0.500 0.500
Re 0.000 0.000 0.000
O 0.787 0.787 0.213
O 0.787 0.213 0.213
O 0.213 0.787 0.787
O 0.213 0.213 0.787
O 0.213 0.787 0.213
O 0.787 0.213 0.787

## Properties
The value obtained for the raw total energy is -53.9 eV/cell. As for the uncorrected formation energy: -1.26 eV per atom.


A relaxed structure of SnAuI3. Source: the Alexandria database, functional PBE-GGA.

Lattice parameters (Å, degrees): 4.502 9.069 13.046 124.09 89.97 104.31
Sites, in units of the cell vectors:
Sn 0.645 0.289 0.318
Sn 0.355 0.711 0.682
Au 0.808 0.617 0.050
Au 0.192 0.383 0.950
I 0.404 0.810 0.187
I 0.144 0.288 0.506
I 0.854 0.708 0.844
I 0.146 0.292 0.156
I 0.596 0.190 0.813
I 0.856 0.712 0.494

## Properties
The value obtained for the raw total energy is -26.5 eV/cell. The relative energy among the computed polymorphs is 0.000 eV per formula unit. As for the uncorrected formation energy: -0.26 eV per atom.


A relaxed structure of RbSiCl2. Source: the Alexandria database, functional PBE-GGA.

Lattice parameters (Å, degrees): 9.427 9.427 9.427 25.46 25.46 25.46
Sites, in units of the cell vectors:
Si 0.000 0.000 0.000
Rb 0.500 0.500 0.500
Cl 0.911 0.911 0.911
Cl 0.089 0.089 0.089

## Properties
The value obtained for the raw total energy is -12.7 eV/cell. The relative energy among the computed polymorphs is 0.000 eV per formula unit. As for the uncorrected formation energy: -0.65 eV per atom.


A relaxed structure of Si3Rh2. Source: the Alexandria database, functional PBE-GGA.

Lattice parameters (Å, degrees): 8.087 6.548 5.704 82.29 53.36 44.34
Sites, in units of the cell vectors:
Si 0.540 0.041 0.181
Si 0.238 0.181 0.041
Si 0.069 0.012 0.710
Si 0.209 0.710 0.012
Si 0.920 0.580 0.580
Si 0.670 0.330 0.330
Rh 0.519 0.647 0.050
Rh 0.783 0.050 0.647
Rh 0.200 0.467 0.731
Rh 0.603 0.731 0.467

## Properties
The value obtained for the raw total energy is -67.0 eV/cell. As for the uncorrected formation energy: -0.50 eV per atom.


A relaxed structure of HfZrPd4. Source: the Alexandria database, functional PBE-GGA.

Lattice parameters (Å, degrees): 3.289 7.280 17.757 90.00 90.00 90.00
Sites, in units of the cell vectors:
Hf 0.750 0.201 0.456
Hf 0.250 0.799 0.544
Hf 0.250 0.299 0.956
Hf 0.750 0.701 0.044
Zr 0.750 0.796 0.801
Zr 0.250 0.204 0.199
Zr 0.250 0.704 0.301
Zr 0.750 0.296 0.699
Pd 0.750 0.923 0.658
Pd 0.250 0.077 0.342
Pd 0.250 0.577 0.158
Pd 0.750 0.423 0.842
Pd 0.750 0.829 0.419
Pd 0.250 0.171 0.581
Pd 0.250 0.671 0.919
Pd 0.750 0.329 0.081
Pd 0.750 0.002 0.935
Pd 0.250 0.998 0.065
Pd 0.250 0.498 0.435
Pd 0.750 0.502 0.565
Pd 0.750 0.893 0.193
Pd 0.250 0.107 0.807
Pd 0.250 0.607 0.693
Pd 0.750 0.393 0.307

## Properties
The value obtained for the raw total energy is -171.9 eV/cell. For the formation energy, the calculation gives -618 meV per atom. The relative energy among the computed polymorphs is 0.000 eV per formula unit.